Entry 1:
Density functional theory data (PBE) for a relaxed BaCaTi3 crystal.

Formation energy from the elements, eV per atom: 1.4639
Magnetic moment, μB per formula unit: 1.2

Cell lengths 5.1293, 5.1293, 5.1293 Å; angles 90.00, 90.00, 90.00 degrees
Space group Pm-3m (No. 221)
Unique sites:
Ba: 0.0000 0.0000 0.0000 (multiplicity 1)
Ca: 0.5000 0.5000 0.5000 (multiplicity 1)
Ti: 0.0000 0.0000 0.5000 (multiplicity 3)

=====

Entry 2:
Density functional theory data (PBE) for a relaxed Ce3Pr3DySe8 crystal.

Magnetic moment, μB per formula unit: 3.5
Uncorrected formation energy, eV per atom: -1.8612

Cell lengths 8.4305, 8.4305, 20.7314 Å; angles 90.00, 90.00, 120.00 degrees
Space group R-3m (No. 166, hexagonal axes)
Unique sites:
Ce: 0.0000 0.5000 0.0000 (multiplicity 9)
Pr: 0.0000 0.5000 0.5000 (multiplicity 9)
Dy: 0.0000 0.0000 0.0000 (multiplicity 3)
Se: 0.0000 0.0000 0.2515 (multiplicity 6)
Se: 0.0047 0.5024 0.7474 (multiplicity 18)

=====

Look up the magnetic moment of the second one.
3.5 μB per formula unit

=====

What is the formula in the second record?
Ce3Pr3DySe8